A plane-wave DFT calculation with GGA-PBE was carried out for a geometry-optimized ZnTcPO2 structure.

```
data_ZnTcPO2
_space_group_name_H-M_alt 'P 1'
_space_group_IT_number 1
_space_group_name_Hall 'P 1'
_cell_length_a 3.680
_cell_length_b 3.680
_cell_length_c 5.231
_cell_angle_alpha 90.00
_cell_angle_beta 90.00
_cell_angle_gamma 90.00
loop_
_atom_site_label
_atom_site_type_symbol
_atom_site_fract_x
_atom_site_fract_y
_atom_site_fract_z
_atom_site_occupancy
Zn1 Zn 0.000 0.000 0.000 1
Tc1 Tc 0.500 0.500 0.500 1
P1 P 0.000 0.000 0.500 1
O1 O 0.000 0.500 0.000 1
O2 O 0.500 0.000 0.000 1
```

Calculated values
Its density of states at the Fermi level is 3.3 states/eV/f.u. The theoretical density comes out at 5.31 g/cm3. Its polymorph energy (0 for the lowest one) is 1.075 eV per atom. The uncorrected energy comes out at -0.366 Ry per atom.